Record 1
A plane-wave DFT calculation with PBE-GGA was carried out for an optimized crystal structure of MgCd2.

Unit cell a=3.215 b=5.107 c=8.097 alpha=90.00 beta=101.45 gamma=90.00
Atoms (fractional coordinates):
Cd 0.778 0.250 0.555
Cd 0.555 0.750 0.109
Cd 0.222 0.750 0.445
Cd 0.445 0.250 0.891
Mg 0.110 0.250 0.221
Mg 0.890 0.750 0.779

Properties
DFT formation energy   -0.075 eV per atom
DOS at the Fermi energy   0.32 states/eV/atom
Total energy   -1.217 eV/atom

---

Record 2
A plane-wave DFT calculation with PBE-GGA was carried out for an optimized crystal structure of Sb2MoI.

Unit cell a=5.120 b=5.120 c=5.120 alpha=60.00 beta=60.00 gamma=60.00
Atoms (fractional coordinates):
Sb 0.250 0.250 0.250
Sb 0.750 0.750 0.750
I 0.500 0.500 0.500
Mo 0.000 0.000 0.000

Properties
Raw formation energy   96.1 kJ/mol of atoms
DOS at the Fermi energy   1.58 states/eV/atom
Total energy   -4.160 eV/atom

---

Record 3
A plane-wave DFT calculation with PBE-GGA was carried out for an optimized crystal structure of SmHo2In2.

Unit cell a=3.760 b=5.382 c=14.031 alpha=90.00 beta=97.71 gamma=90.00
Atoms (fractional coordinates):
Sm 0.147 0.250 0.296
Sm 0.853 0.750 0.704
In 0.357 0.250 0.713
In 0.451 0.750 0.904
In 0.549 0.250 0.096
In 0.643 0.750 0.287
Ho 0.951 0.250 0.903
Ho 0.049 0.750 0.097
Ho 0.237 0.750 0.474
Ho 0.763 0.250 0.526

Properties
DFT formation energy   -0.376 eV per atom
DOS at the Fermi energy   0.91 states/eV/atom
Total energy   -4.247 eV/atom

---

Among the records above, which one has the highest DOS at the Fermi energy?
Sb2MoI

---

Which value of DOS at the Fermi energy does entry 2 give?
1.58 states/eV/atom

---

The lowest total energy belongs to which entry?
SmHo2In2